(1)
TcAgSb2 | Alexandria | GGA-PBE | relaxed; magnetization = 0.0 μB/cell; SG = R-3m (166); density of states at the Fermi level = 2.32 states/eV per cell; calculated volume = 20.9 Å³/atom
1.0
-2.155 -8.425 0.948
-1.471 -8.299 -2.340
1.021 -8.687 -0.119
Sb Tc Ag
2 1 1
Direct
0.991 0.991 0.991 Sb
0.509 0.509 0.509 Sb
0.250 0.250 0.250 Tc
0.750 0.750 0.750 Ag

---

(2)
TcAgSb2 | Alexandria | GGA-PBE | relaxed; magnetization = 1.0 μB/cell; SG = F-43m (216); density of states at the Fermi level = 3.71 states/eV per cell; calculated volume = 20.7 Å³/atom
1.0
-4.138 1.248 -2.295
-2.055 -3.088 -3.192
-4.197 -2.249 1.127
Sb Tc Ag
2 1 1
Direct
0.000 0.000 0.000 Sb
0.250 0.250 0.250 Sb
0.750 0.750 0.750 Tc
0.500 0.500 0.500 Ag

---

Which structure is the most stable? The one labeled (1).

---

(1)
B5C7 | Alexandria | GGA-PBE | relaxed; magnetization = 0.0 μB/cell; SG = Cm (8); density of states at the Fermi level = 0.90 states/eV per cell; calculated volume = 6.3 Å³/atom
1.0
-4.325 0.781 0.671
-3.495 -0.341 2.727
5.610 6.167 1.102
C B
7 5
Direct
0.515 0.515 0.865 C
0.029 0.029 0.977 C
0.973 0.973 0.526 C
0.322 0.322 0.672 C
0.812 0.812 0.559 C
0.669 0.669 0.820 C
0.160 0.160 0.708 C
0.638 0.638 0.341 B
0.861 0.861 0.010 B
0.451 0.451 0.395 B
0.383 0.383 0.175 B
0.187 0.187 0.202 B

---

(2)
B5C7 | Alexandria | GGA-PBE | relaxed; magnetization = 0.0 μB/cell; SG = Cm (8); density of states at the Fermi level = 1.59 states/eV per cell; calculated volume = 6.6 Å³/atom
1.0
0.737 -0.297 -6.776
5.680 0.346 -4.566
-4.436 -2.425 5.262
C B
7 5
Direct
0.978 0.664 0.314 C
0.041 0.003 0.038 C
0.136 0.464 0.672 C
0.517 0.833 0.684 C
0.492 0.505 0.987 C
0.595 0.291 0.305 C
0.633 0.621 0.013 C
0.534 0.172 0.362 B
0.140 0.785 0.355 B
0.632 0.958 0.674 B
0.983 0.340 0.644 B
0.069 0.115 0.954 B

---

Which structure is the most stable? The one labeled (1).

---

(1)
LaRhSe2 | Alexandria | GGA-PBE | relaxed; magnetization = 0.0 μB/cell; SG = Immm (71); density of states at the Fermi level = 0.73 states/eV per cell; calculated volume = 22.1 Å³/atom
1.0
5.195 0.024 0.000
3.604 3.741 0.000
3.093 1.323 4.562
Se Rh La
2 1 1
Direct
0.557 0.557 0.443 Se
0.943 0.943 0.057 Se
0.250 0.250 0.250 Rh
0.750 0.750 0.750 La

---

(2)
LaRhSe2 | Alexandria | GGA-PBE | relaxed; magnetization = 0.0 μB/cell; SG = P2/m (10); density of states at the Fermi level = 2.63 states/eV per cell; calculated volume = 23.5 Å³/atom
1.0
3.795 0.000 0.000
0.000 3.872 -0.242
0.000 0.427 6.377
Se La Rh
2 1 1
Direct
0.000 0.748 0.501 Se
0.000 0.752 0.999 Se
0.500 0.250 0.250 La
0.500 0.750 0.750 Rh

---

Which structure is the most stable? The one labeled (1).

---

(1)
BeZnTe2 | Alexandria | GGA-PBE | relaxed; magnetization = 0.0 μB/cell; SG = C2/m (12); density of states at the Fermi level = 1.81 states/eV per cell; calculated volume = 31.6 Å³/atom
1.0
6.166 0.168 0.136
1.492 5.985 0.136
2.645 2.125 3.542
Be Te Zn
1 2 1
Direct
0.000 0.500 0.500 Be
0.500 0.500 0.000 Te
0.000 0.000 0.000 Te
0.500 0.000 0.500 Zn

---

(2)
BeZnTe2 | Alexandria | GGA-PBE | relaxed; magnetization = 0.0 μB/cell; SG = P2_1/c (14); density of states at the Fermi level = 0.00 states/eV per cell; calculated volume = 28.6 Å³/atom
1.0
20.639 0.000 0.357
0.000 4.148 0.000
-7.332 0.000 5.227
Te Be Zn
8 4 4
Direct
0.358 0.249 0.581 Te
0.634 0.750 0.880 Te
0.366 0.250 0.120 Te
0.142 0.749 0.919 Te
0.134 0.750 0.380 Te
0.858 0.251 0.081 Te
0.642 0.751 0.419 Te
0.866 0.250 0.620 Te
0.256 0.248 0.149 Be
0.756 0.252 0.649 Be
0.744 0.752 0.851 Be
0.244 0.748 0.351 Be
0.500 0.250 0.621 Zn
0.500 0.750 0.379 Zn
0.000 0.250 0.121 Zn
0.000 0.750 0.879 Zn

---

Which structure is the most stable? The one labeled (2).

---

(1)
YCr2Mo | Alexandria | GGA-PBE | relaxed; magnetization = 2.0 μB/cell; SG = Pmmm (47); density of states at the Fermi level = 4.28 states/eV per cell; calculated volume = 17.5 Å³/atom
1.0
3.294 0.000 0.000
0.000 4.690 0.000
0.000 0.000 4.536
Cr Mo Y
2 1 1
Direct
0.500 0.500 0.000 Cr
0.000 0.000 0.000 Cr
0.500 0.000 0.500 Mo
0.000 0.500 0.500 Y

---

(2)
YCr2Mo | Alexandria | GGA-PBE | relaxed; magnetization = 0.4 μB/cell; SG = P4mm (99); density of states at the Fermi level = 4.20 states/eV per cell; calculated volume = 16.6 Å³/atom
1.0
3.006 0.000 0.000
0.000 3.006 0.000
0.000 0.000 7.335
Y Cr Mo
1 2 1
Direct
0.500 0.500 0.764 Y
0.500 0.500 0.233 Cr
0.000 0.000 0.065 Cr
0.000 0.000 0.439 Mo

---

Which structure is the most stable? The one labeled (2).

---

(1)
Cd2NiCl | Alexandria | GGA-PBE | relaxed; magnetization = 0.0 μB/cell; SG = F-43m (216); density of states at the Fermi level = 2.47 states/eV per cell; calculated volume = 20.0 Å³/atom
1.0
-0.190 -1.286 4.662
3.912 -1.859 2.159
2.388 2.584 3.323
Cd Cl Ni
2 1 1
Direct
0.250 0.250 0.250 Cd
0.000 0.000 0.000 Cd
0.500 0.500 0.500 Cl
0.750 0.750 0.750 Ni

---

(2)
Cd2NiCl | Alexandria | GGA-PBE | relaxed; magnetization = 0.1 μB/cell; SG = P4mm (99); density of states at the Fermi level = 4.03 states/eV per cell; calculated volume = 19.3 Å³/atom
1.0
3.114 0.000 0.000
0.000 3.114 0.000
0.000 0.000 7.976
Cd Ni Cl
2 1 1
Direct
0.000 0.000 0.949 Cd
0.500 0.500 0.245 Cd
0.500 0.500 0.744 Ni
0.000 0.000 0.562 Cl

---

Which structure is the most stable? The one labeled (2).

---

(1)
Ca2TlH | Alexandria | GGA-PBE | relaxed; magnetization = 0.4 μB/cell; SG = R3m (160); density of states at the Fermi level = 2.32 states/eV per cell; calculated volume = 24.6 Å³/atom
1.0
-2.934 2.180 1.063
-3.567 -1.193 -0.584
-2.170 -3.114 7.211
Tl H Ca
1 1 2
Direct
0.499 0.499 0.503 Tl
0.669 0.669 0.994 H
0.269 0.269 0.193 Ca
0.063 0.063 0.811 Ca

---

(2)
Ca2TlH | Alexandria | GGA-PBE | relaxed; magnetization = 0.0 μB/cell; SG = I-42d (122); density of states at the Fermi level = 1.44 states/eV per cell; calculated volume = 25.1 Å³/atom
1.0
7.146 0.000 0.000
0.000 7.146 0.000
3.573 3.573 3.938
Ca Tl H
4 2 2
Direct
0.375 0.482 0.750 Ca
0.232 0.625 0.250 Ca
0.518 0.125 0.250 Ca
0.875 0.768 0.750 Ca
0.000 0.000 0.000 Tl
0.750 0.250 0.500 Tl
0.500 0.500 0.000 H
0.250 0.750 0.500 H

---

Which structure is the most stable? The one labeled (2).

---

(1)
PSe | Alexandria | GGA-PBE | relaxed; magnetization = 0.0 μB/cell; SG = P-1 (2); calculated volume = 29.4 Å³/atom
1.0
-3.190 -5.133 -0.562
3.978 -0.653 0.469
-8.185 -1.751 4.161
Se P
2 2
Direct
0.163 0.511 0.674 Se
0.837 0.489 0.326 Se
0.159 0.429 0.000 P
0.841 0.571 0.000 P

---

(2)
PSe | Alexandria | GGA-PBE | relaxed; magnetization = 0.0 μB/cell; SG = Cm (8); density of states at the Fermi level = 1.18 states/eV per cell; calculated volume = 25.2 Å³/atom
1.0
1.596 5.316 0.049
-1.596 5.316 0.049
0.000 1.296 8.934
P Se
3 3
Direct
0.022 0.022 0.045 P
0.542 0.542 0.216 P
0.674 0.674 0.684 P
0.337 0.337 0.327 Se
0.031 0.031 0.635 Se
0.227 0.227 0.927 Se

---

Which structure is the most stable? The one labeled (1).